The following is a DFT calculation (PBE with a Hubbard U) of a relaxed structure of La2MnSF.

## Properties
The total energy is -26.0 eV per cell. Its total magnetic moment is 1.480 μB/f.u.

Lattice parameters (Å, degrees): 5.296 5.296 4.385 90.00 90.00 90.00
Space group P4/mmm (No. 123)
Inequivalent atoms, fractional coordinates:
La1 0.000 0.500 0.000 [2 per cell]
Mn1 0.000 0.000 0.000 [1 per cell]
S1 0.000 0.000 0.500 [1 per cell]
F1 0.500 0.500 0.500 [1 per cell]